A relaxed structure of Mg14GaMo, computed with PBE.

* formation energy: 115 kJ/mol of formula units
* crystal system: hexagonal
* mass density: 2.5 g/cm³
* raw total energy: -2.187 eV/atom

abc: 6.2402 6.2402 10.0168
angles: 90.00 90.00 120.00
Space group P-6m2 (No. 187)
Inequivalent atoms, fractional coordinates:
Mg 0.0000 0.0000 0.2496 [2 per cell]
Mg 0.0135 0.5067 0.2440 [6 per cell]
Mg 0.3340 0.1670 0.0000 [3 per cell]
Mg 0.3338 0.1669 0.5000 [3 per cell]
Ga 0.3333 0.6667 0.5000 [1 per cell]
Mo 0.3333 0.6667 0.0000 [1 per cell]

A relaxed structure of Ca2CoTe, computed with PBE.

* crystal system: tetragonal
* mass density: 4.3 g/cm³
* formation energy from raw total energies: -0.208 eV/atom
* raw total energy: -3.771 eV/atom

abc: 4.3307 4.3307 10.9149
angles: 90.00 90.00 90.00
Space group I-4m2 (No. 119)
Inequivalent atoms, fractional coordinates:
Ca 0.0000 0.0000 0.0000 [2 per cell]
Ca 0.0000 0.5000 0.2500 [2 per cell]
Co 0.0000 0.5000 0.7500 [2 per cell]
Te 0.0000 0.0000 0.5000 [2 per cell]

A relaxed structure of GeH2Pd4, computed with PBE.

* crystal system: tetragonal
* mass density: 8.4 g/cm³
* raw total energy: -4.338 eV/atom
* E above lowest polymorph: 475 meV/atom

abc: 4.6711 4.6711 9.0823
angles: 90.00 90.00 90.00
Space group I4/mmm (No. 139)
Inequivalent atoms, fractional coordinates:
Ge 0.0000 0.0000 0.0000 [2 per cell]
H 0.0000 0.0000 0.4445 [4 per cell]
Pd 0.0000 0.0000 0.2640 [4 per cell]
Pd 0.0000 0.5000 0.0000 [4 per cell]

A relaxed structure of KNa2AgAu, computed with PBE.

* formation energy: -5 kJ/mol of formula units
* crystal system: tetragonal
* mass density: 3.9 g/cm³
* raw total energy: -1.984 eV/atom
* E above lowest polymorph: 36 meV/atom

abc: 5.5550 5.5550 5.3782
angles: 90.00 90.00 90.00
Space group P4/mmm (No. 123)
Inequivalent atoms, fractional coordinates:
K 0.0000 0.0000 0.0000 [1 per cell]
Na 0.0000 0.5000 0.5000 [2 per cell]
Ag 0.5000 0.5000 0.5000 [1 per cell]
Au 0.5000 0.5000 0.0000 [1 per cell]

A relaxed structure of La3SnTeBr, computed with PBE.

* crystal system: monoclinic
* mass density: 5.5 g/cm³
* formation energy from raw total energies: -1.112 eV/atom
* raw total energy: -5.045 eV/atom

abc: 9.4014 4.5078 10.6702
angles: 90.00 92.27 90.00
Space group P2_1/m (No. 11)
Inequivalent atoms, fractional coordinates:
La 0.1152 0.2500 0.3461 [2 per cell]
La 0.1568 0.2500 0.9376 [2 per cell]
La 0.3758 0.7500 0.6422 [2 per cell]
Sn 0.1311 0.2500 0.6467 [2 per cell]
Te 0.3699 0.7500 0.3337 [2 per cell]
Br 0.3678 0.7500 0.9318 [2 per cell]

A relaxed structure of AcScIrO6, computed with PBE.

* crystal system: trigonal
* mass density: 6.9 g/cm³
* formation energy from raw total energies: -2.235 eV/atom
* raw total energy: -7.685 eV/atom

abc: 5.3655 5.3655 5.3696
angles: 90.00 90.00 120.00
Space group P312 (No. 149)
Inequivalent atoms, fractional coordinates:
Ac 0.0000 0.0000 0.0000 [1 per cell]
Sc 0.3333 0.6667 0.5000 [1 per cell]
Ir 0.6667 0.3333 0.5000 [1 per cell]
O 0.3795 0.0218 0.7075 [6 per cell]

A relaxed structure of Tl3SeF, computed with PBE.

* crystal system: cubic
* mass density: 8.1 g/cm³
* formation energy from raw total energies: -0.775 eV/atom
* raw total energy: -3.265 eV/atom
* E above lowest polymorph: 116 meV/atom

abc: 5.2708 5.2708 5.2708
angles: 90.00 90.00 90.00
Space group Pm-3m (No. 221)
Inequivalent atoms, fractional coordinates:
Tl 0.0000 0.0000 0.5000 [3 per cell]
Se 0.5000 0.5000 0.5000 [1 per cell]
F 0.0000 0.0000 0.0000 [1 per cell]

A relaxed structure of PrPu2P3, computed with PBE.

* formation energy: -731 kJ/mol of formula units
* crystal system: orthorhombic
* mass density: 8.4 g/cm³
* raw total energy: -9.541 eV/atom

abc: 8.1225 11.4936 24.3703
angles: 90.00 90.00 90.00
Space group Fddd (No. 70, origin choice 2)
Inequivalent atoms, fractional coordinates:
Pr 0.1250 0.1250 0.0419 [16 per cell]
Pu 0.1250 0.1250 0.3737 [16 per cell]
Pu 0.1250 0.1250 0.5406 [16 per cell]
P 0.1112 0.3750 0.8750 [16 per cell]
P 0.1179 0.3684 0.7059 [32 per cell]

A relaxed structure of Co2Rh2W, computed with PBE.

* formation energy: 74 kJ/mol of formula units
* crystal system: tetragonal
* mass density: 12.6 g/cm³
* raw total energy: -8.219 eV/atom
* E above lowest polymorph: 0 meV/atom

abc: 6.9671 6.9671 2.7498
angles: 90.00 90.00 90.00
Space group P4/mbm (No. 127)
Inequivalent atoms, fractional coordinates:
Co 0.1220 0.3780 0.0000 [4 per cell]
Rh 0.1742 0.6742 0.5000 [4 per cell]
W 0.0000 0.0000 0.0000 [2 per cell]

A relaxed structure of La2YZr, computed with PBE.

* formation energy: 53 kJ/mol of formula units
* crystal system: trigonal
* mass density: 6.1 g/cm³
* raw total energy: -6.079 eV/atom
* E above lowest polymorph: 39 meV/atom

abc: 3.5632 3.5632 33.9669
angles: 90.00 90.00 120.00
Space group R-3m (No. 166, hexagonal axes)
Inequivalent atoms, fractional coordinates:
La 0.0000 0.0000 0.2449 [6 per cell]
Y 0.0000 0.0000 0.0000 [3 per cell]
Zr 0.0000 0.0000 0.5000 [3 per cell]

A relaxed structure of Tl2ZnIr, computed with PBE.

* formation energy: 71 kJ/mol of formula units
* crystal system: tetragonal
* mass density: 12.7 g/cm³
* raw total energy: -3.533 eV/atom
* E above lowest polymorph: 66 meV/atom

abc: 3.1902 3.1902 8.5750
angles: 90.00 90.00 90.00
Space group P4mm (No. 99)
Inequivalent atoms, fractional coordinates:
Tl 0.0000 0.0000 0.0000 [1 per cell]
Tl 0.5000 0.5000 0.3479 [1 per cell]
Zn 0.0000 0.0000 0.6198 [1 per cell]
Ir 0.5000 0.5000 0.7654 [1 per cell]

A relaxed structure of Lu2ZnAg, computed with PBE.

* formation energy: -131 kJ/mol of formula units
* crystal system: cubic
* mass density: 9.9 g/cm³
* raw total energy: -3.632 eV/atom
* E above lowest polymorph: 13 meV/atom

abc: 7.0637 7.0637 7.0637
angles: 90.00 90.00 90.00
Space group Fm-3m (No. 225)
Inequivalent atoms, fractional coordinates:
Lu 0.2500 0.2500 0.2500 [8 per cell]
Zn 0.0000 0.0000 0.0000 [4 per cell]
Ag 0.0000 0.0000 0.5000 [4 per cell]

A relaxed structure of CsKNa2Si, computed with PBE.

* crystal system: tetragonal
* mass density: 1.8 g/cm³
* formation energy from raw total energies: 0.159 eV/atom
* raw total energy: -1.843 eV/atom

abc: 5.9364 5.9364 6.5156
angles: 90.00 90.00 90.00
Space group P4/mmm (No. 123)
Inequivalent atoms, fractional coordinates:
Cs 0.0000 0.0000 0.0000 [1 per cell]
K 0.5000 0.5000 0.0000 [1 per cell]
Na 0.0000 0.5000 0.5000 [2 per cell]
Si 0.5000 0.5000 0.5000 [1 per cell]

A relaxed structure of Tl2Pd5Se, computed with PBE.

* crystal system: tetragonal
* mass density: 11.3 g/cm³
* formation energy from raw total energies: -0.133 eV/atom
* raw total energy: -4.405 eV/atom

abc: 6.1231 6.1231 7.9594
angles: 90.00 90.00 90.00
Space group I4mm (No. 107)
Inequivalent atoms, fractional coordinates:
Tl 0.0000 0.5000 0.0000 [4 per cell]
Pd 0.0000 0.0000 0.0125 [2 per cell]
Pd 0.2270 0.2270 0.7441 [8 per cell]
Se 0.0000 0.0000 0.3400 [2 per cell]

A relaxed structure of AcPr2Ga2, computed with PBE.

* formation energy: -180 kJ/mol of formula units
* crystal system: orthorhombic
* mass density: 6.9 g/cm³
* raw total energy: -4.317 eV/atom
* E above lowest polymorph: 0 meV/atom

abc: 4.7175 13.5946 9.7369
angles: 90.00 90.00 90.00
Space group Cmc2_1 (No. 36)
Inequivalent atoms, fractional coordinates:
Ac 0.0000 0.0828 0.0000 [4 per cell]
Pr 0.0000 0.1903 0.6233 [4 per cell]
Pr 0.0000 0.3722 0.8634 [4 per cell]
Ga 0.0000 0.2816 0.3249 [4 per cell]
Ga 0.0000 0.4528 0.1724 [4 per cell]

A relaxed structure of LiGdHoLu, computed with PBE.

* formation energy: 60 kJ/mol of formula units
* crystal system: cubic
* mass density: 7.4 g/cm³
* raw total energy: -6.117 eV/atom

abc: 7.6797 7.6797 7.6797
angles: 90.00 90.00 90.00
Space group F-43m (No. 216)
Inequivalent atoms, fractional coordinates:
Li 0.0000 0.0000 0.0000 [4 per cell]
Gd 0.2500 0.2500 0.2500 [4 per cell]
Ho 0.2500 0.2500 0.7500 [4 per cell]
Lu 0.0000 0.0000 0.5000 [4 per cell]

A relaxed structure of InTcSbI2, computed with PBE.

* crystal system: tetragonal
* mass density: 5.8 g/cm³
* formation energy from raw total energies: 0.324 eV/atom
* raw total energy: -3.742 eV/atom
* E above lowest polymorph: 0 meV/atom

abc: 5.7680 5.7680 5.0971
angles: 90.00 90.00 90.00
Space group P4/mmm (No. 123)
Inequivalent atoms, fractional coordinates:
In 0.0000 0.0000 0.0000 [1 per cell]
Tc 0.5000 0.5000 0.5000 [1 per cell]
Sb 0.5000 0.5000 0.0000 [1 per cell]
I 0.0000 0.5000 0.5000 [2 per cell]

A relaxed structure of Cs3Ce2O4F3, computed with PBE.

* crystal system: orthorhombic
* mass density: 5.1 g/cm³
* formation energy from raw total energies: -2.917 eV/atom
* raw total energy: -6.240 eV/atom

abc: 4.3868 4.8291 24.7232
angles: 90.00 90.00 90.00
Space group Immm (No. 71)
Inequivalent atoms, fractional coordinates:
Cs 0.0000 0.0000 0.0000 [2 per cell]
Cs 0.0000 0.0000 0.1941 [4 per cell]
Ce 0.0000 0.0000 0.3986 [4 per cell]
O 0.0000 0.0000 0.3180 [4 per cell]
O 0.0000 0.5000 0.0933 [4 per cell]
F 0.0000 0.0000 0.5000 [2 per cell]
F 0.0000 0.5000 0.4063 [4 per cell]

A relaxed structure of MgAlH4, computed with PBE.

* crystal system: monoclinic
* mass density: 1.7 g/cm³
* raw total energy: -3.078 eV/atom

abc: 6.5259 9.1470 4.3584
angles: 90.00 124.51 90.00
Space group C2/c (No. 15)
Inequivalent atoms, fractional coordinates:
Mg 0.0000 0.1317 0.2500 [4 per cell]
Al 0.0000 0.4082 0.7500 [4 per cell]
H 0.1785 0.2928 0.6818 [8 per cell]
H 0.2201 0.4576 0.2197 [8 per cell]